This record from the Alexandria database describes Pm9Mg2In after structural relaxation. The functional is PBE.

* energy relative to the elements: -0.087 eV/atom
* D(E_F): 21.11 states/eV per cell
* crystal system: tetragonal
* spin magnetization: 0.01 μB per formula unit

CIF file:
```
data_Pm9Mg2In
_space_group_name_H-M_alt 'P 4/m m m'
_space_group_IT_number 123
_space_group_name_Hall '-P 4 2'
_cell_length_a 4.991
_cell_length_b 4.991
_cell_length_c 14.977
_cell_angle_alpha 90.00
_cell_angle_beta 90.00
_cell_angle_gamma 90.00
loop_
_atom_site_label
_atom_site_fract_x
_atom_site_fract_y
_atom_site_fract_z
_atom_site_occupancy
Pm1 0.000 0.000 0.000 1
Pm2 0.000 0.000 0.334 1
Pm3 0.000 0.500 0.164 1
Pm4 0.000 0.500 0.500 1
Mg1 0.500 0.500 0.333 1
In1 0.500 0.500 0.000 1
```

This record from the Alexandria database describes Pm6MgIn2 after structural relaxation. The functional is PBE.

* energy relative to the elements: -0.158 eV/atom
* D(E_F): 10.46 states/eV per cell
* crystal system: hexagonal
* spin magnetization: 0.00 μB per formula unit

CIF file:
```
data_Pm6MgIn2
_space_group_name_H-M_alt 'P -6 2 m'
_space_group_IT_number 189
_space_group_name_Hall 'P -6 -2'
_cell_length_a 8.3851
_cell_length_b 8.3851
_cell_length_c 4.7041
_cell_angle_alpha 90.00
_cell_angle_beta 90.00
_cell_angle_gamma 120.00
loop_
_atom_site_label
_atom_site_fract_x
_atom_site_fract_y
_atom_site_fract_z
_atom_site_occupancy
Pm1 0.0000 0.4149 0.0000 1
Pm2 0.0000 0.7363 0.5000 1
Mg1 0.0000 0.0000 0.0000 1
In1 0.3333 0.6667 0.5000 1
```